(1)
A relaxed LaCoW2 crystal. Source: the Alexandria database, functional GGA-PBE.

Computed properties:
Density: 13.37 g/cm3
Energy relative to the elements: 0.489 eV per atom
Polymorph energy (0 for the lowest one): 0.036 eV per atom

Cell and atoms, written as POSCAR:
```
LaCoW2
1.0
1.7074 -2.3111 0.0000
1.7074 2.3111 0.0000
0.0000 0.0000 8.9027
La Co W
1 1 2
direct
0.0000 0.0000 0.0000 La
0.5000 0.5000 0.2592 Co
0.0000 0.0000 0.4551 W
0.5000 0.5000 0.6921 W
```



(2)
A relaxed LaCoW crystal. Source: the Alexandria database, functional GGA-PBE.

Computed properties:
Density: 9.85 g/cm3
Energy relative to the elements: 0.922 eV per atom
Polymorph energy (0 for the lowest one): 0.626 eV per atom

Cell and atoms, written as POSCAR:
```
LaCoW
1.0
0.0000 3.1801 3.1801
3.1801 0.0000 3.1801
3.1801 3.1801 0.0000
La Co W
1 1 1
direct
0.0000 0.0000 0.0000 La
0.7500 0.7500 0.7500 Co
0.5000 0.5000 0.5000 W
```



(3)
A relaxed LaCo2W crystal. Source: the Alexandria database, functional GGA-PBE.

Computed properties:
Density: 10.81 g/cm3
Energy relative to the elements: 0.140 eV per atom
Polymorph energy (0 for the lowest one): 0.058 eV per atom

Cell and atoms, written as POSCAR:
```
LaCo2W
1.0
3.0606 0.0000 0.0000
0.0000 3.0781 0.0000
0.0000 0.0000 7.1872
La Co W
1 2 1
direct
0.0000 0.0000 0.0000 La
0.5000 0.5000 0.3201 Co
0.5000 0.5000 0.6799 Co
0.0000 0.0000 0.5000 W
```



(4)
A relaxed LaCoW2 crystal. Source: the Alexandria database, functional GGA-PBE.

Computed properties:
Density: 12.50 g/cm3
Energy relative to the elements: 0.820 eV per atom
Polymorph energy (0 for the lowest one): 0.368 eV per atom

Cell and atoms, written as POSCAR:
```
LaCoW2
1.0
-1.9243 1.9243 5.0707
1.9243 -1.9243 5.0707
1.9243 1.9243 -5.0707
La Co W
1 1 2
direct
0.0000 0.0000 0.0000 La
0.5000 0.5000 0.0000 Co
0.2500 0.7500 0.5000 W
0.7500 0.2500 0.5000 W
```



(5)
A relaxed LaCo2W crystal. Source: the Alexandria database, functional GGA-PBE.

Computed properties:
Density: 10.85 g/cm3
Energy relative to the elements: 0.730 eV per atom
Polymorph energy (0 for the lowest one): 0.649 eV per atom

Cell and atoms, written as POSCAR:
```
LaCo2W
1.0
1.4418 0.8324 9.3634
-1.4418 0.8324 9.3634
0.0000 -1.6648 9.3634
La Co W
1 2 1
direct
0.0000 0.0000 0.0000 La
0.4906 0.4906 0.4906 Co
0.7609 0.7609 0.7609 Co
0.2293 0.2293 0.2293 W
```



(6)
A relaxed LaCoW4 crystal. Source: the Alexandria database, functional GGA-PBE.

Computed properties:
Density: 13.54 g/cm3
Energy relative to the elements: 0.742 eV per atom

Cell and atoms, written as POSCAR:
```
LaCoW4
1.0
0.0000 3.8533 3.8533
3.8533 0.0000 3.8533
3.8533 3.8533 0.0000
La Co W
1 1 4
direct
0.0000 0.0000 0.0000 La
0.2500 0.2500 0.2500 Co
0.1248 0.6251 0.6251 W
0.6251 0.1248 0.6251 W
0.6251 0.6251 0.1248 W
0.6251 0.6251 0.6251 W
```



| no. | calculated volume (Å³/cell) | total moment (μB/f.u.) |
| --- | --- | --- |
| 1 | 70 | 0.0 |
| 2 | 64 | 1.6 |
| 3 | 68 | 0.0 |
| 4 | 75 | 0.0 |
| 5 | 67 | 2.9 |
| 6 | 114 | 1.6 |